# 1
This record from Alexandria via LeMat-Bulk describes a relaxed Sm3Y5Tm4 crystal. The functional is PBE.

ΔE_f: 0.023 eV per atom
Total magnetic moment: 0.000 μB per cell
Symmetry: P-1, No. 2

```
Sm3Y5Tm4
1.0
-6.183 -2.531 -2.452
10.417 -3.987 -1.477
-11.006 0.552 6.555
Sm Y Tm
3 5 4
Direct
0.586 0.168 0.335
0.000 0.000 0.500
0.414 0.832 0.665
0.335 0.667 0.833
0.500 0.000 0.500
0.749 0.501 0.001
0.251 0.499 0.999
0.665 0.333 0.167
0.918 0.833 0.667
0.836 0.670 0.834
0.164 0.330 0.166
0.082 0.167 0.333
```

=====

# 2
This record from Alexandria via LeMat-Bulk describes a relaxed Sm7Y16Tm6 crystal. The functional is PBE.

ΔE_f: 0.265 eV per atom
Total magnetic moment: 0.000 μB per cell
Symmetry: Fm-3m, No. 225

```
Sm7Y16Tm6
1.0
-7.608 -0.934 -8.177
-4.734 -9.930 -2.142
-10.776 -1.736 2.543
Sm Y Tm
7 16 6
Direct
0.000 0.000 0.000
0.500 0.000 0.500
0.000 0.500 0.000
0.000 0.500 0.500
0.500 0.000 0.000
0.000 0.000 0.500
0.500 0.500 0.000
0.872 0.872 0.383
0.872 0.872 0.872
0.872 0.383 0.872
0.383 0.872 0.872
0.128 0.128 0.128
0.128 0.128 0.617
0.128 0.617 0.128
0.617 0.128 0.128
0.647 0.647 0.058
0.647 0.647 0.647
0.647 0.058 0.647
0.058 0.647 0.647
0.353 0.353 0.353
0.353 0.353 0.942
0.353 0.942 0.353
0.942 0.353 0.353
0.257 0.743 0.257
0.743 0.257 0.743
0.743 0.257 0.257
0.257 0.743 0.743
0.743 0.743 0.257
0.257 0.257 0.743
```

=====

# 3
This record from Alexandria via LeMat-Bulk describes a relaxed SmYTm2 crystal. The functional is PBE.

ΔE_f: 0.027 eV per atom
Total magnetic moment: 0.000 μB per cell
Symmetry: P4/mmm, No. 123

```
SmYTm2
1.0
-3.921 3.081 0.301
-1.953 -2.842 3.649
2.422 2.746 3.435
Y Tm Sm
1 2 1
Direct
0.500 0.000 0.000
0.000 0.000 0.500
0.000 0.500 0.000
0.500 0.500 0.500
```

=====

# 4
This record from Alexandria via LeMat-Bulk describes a relaxed SmY5Tm2 crystal. The functional is PBE.

ΔE_f: 0.151 eV per atom
Total magnetic moment: 0.000 μB per cell
Symmetry: C2/m, No. 12

```
SmY5Tm2
1.0
5.635 -0.036 0.004
-2.768 8.221 -0.068
-0.007 0.099 11.431
Sm Y Tm
2 10 4
Direct
0.773 0.546 0.750
0.227 0.454 0.250
0.956 0.911 0.888
0.955 0.910 0.611
0.412 0.823 0.420
0.412 0.823 0.079
0.606 0.212 0.250
0.394 0.788 0.750
0.588 0.177 0.580
0.588 0.177 0.921
0.044 0.089 0.112
0.045 0.090 0.389
0.786 0.571 0.421
0.786 0.572 0.079
0.214 0.429 0.579
0.214 0.428 0.921
```

=====

# 5
This record from Alexandria via LeMat-Bulk describes a relaxed Sm2Y6Tm crystal. The functional is PBE.

ΔE_f: 0.070 eV per atom
Total magnetic moment: 0.000 μB per cell
Symmetry: Ibam, No. 72

```
Sm2Y6Tm
1.0
-1.396 -3.790 5.632
-2.441 -9.786 -2.924
6.531 -8.215 0.357
Sm Y Tm
4 12 2
Direct
0.083 0.667 0.668
0.417 0.332 0.333
0.917 0.333 0.332
0.583 0.668 0.667
0.488 0.682 0.343
0.012 0.657 0.318
0.512 0.318 0.657
0.988 0.343 0.682
0.846 0.983 0.325
0.654 0.675 0.017
0.154 0.017 0.675
0.346 0.325 0.983
0.176 0.660 0.988
0.324 0.012 0.340
0.824 0.340 0.012
0.676 0.988 0.660
0.250 0.000 0.000
0.750 0.000 0.000
```

=====

# 6
This record from Alexandria via LeMat-Bulk describes a relaxed Sm7YTm4 crystal. The functional is PBE.

ΔE_f: 0.274 eV per atom
Total magnetic moment: 0.000 μB per cell
Symmetry: C2/m, No. 12

```
Sm7YTm4
1.0
5.946 0.000 0.000
2.973 11.191 -0.309
2.973 0.157 6.008
Sm Y Tm
7 1 4
Direct
0.788 0.921 0.503
0.212 0.079 0.497
0.059 0.678 0.203
0.941 0.322 0.797
0.368 0.502 0.762
0.500 0.000 0.000
0.632 0.498 0.238
0.000 0.000 0.000
0.639 0.225 0.497
0.361 0.775 0.503
0.752 0.683 0.813
0.248 0.317 0.187
```

=====

# 7
This record from Alexandria via LeMat-Bulk describes a relaxed Sm5Y4Tm2 crystal. The functional is PBE.

ΔE_f: 0.235 eV per atom
Total magnetic moment: 0.000 μB per cell
Symmetry: Immm, No. 71

```
Sm5Y4Tm2
1.0
3.525 0.000 0.000
0.000 9.097 0.000
-1.762 -4.549 11.751
Sm Y Tm
5 4 2
Direct
0.853 0.053 0.706
0.853 0.653 0.706
0.147 0.347 0.294
0.147 0.947 0.294
0.500 0.000 0.000
0.000 0.311 0.000
0.598 0.598 0.196
0.000 0.689 0.000
0.402 0.402 0.804
0.269 0.269 0.538
0.731 0.731 0.462
```

=====

# 8
This record from Alexandria via LeMat-Bulk describes a relaxed Sm5Y4Tm4 crystal. The functional is PBE.

ΔE_f: 0.021 eV per atom
Total magnetic moment: 0.000 μB per cell
Symmetry: I4/m, No. 87

```
Sm5Y4Tm4
1.0
4.885 0.000 1.242
2.442 9.100 0.621
0.200 0.000 9.440
Sm Y Tm
5 4 4
Direct
0.692 0.847 0.768
0.308 0.153 0.232
0.000 0.000 0.000
0.540 0.768 0.153
0.460 0.232 0.847
0.923 0.461 0.693
0.616 0.307 0.461
0.077 0.539 0.307
0.384 0.693 0.539
0.768 0.386 0.077
0.232 0.614 0.923
0.845 0.923 0.386
0.155 0.077 0.614
```

=====

# 9
This record from Alexandria via LeMat-Bulk describes a relaxed Sm3YTm5 crystal. The functional is PBE.

ΔE_f: 0.315 eV per atom
Total magnetic moment: 0.000 μB per cell
Symmetry: C2/c, No. 15

```
Sm3YTm5
1.0
3.151 9.040 0.325
-3.151 9.040 0.325
0.000 3.925 10.763
Sm Y Tm
6 2 10
Direct
0.000 0.000 0.000
0.009 0.647 0.373
0.000 0.000 0.500
0.991 0.353 0.627
0.647 0.009 0.873
0.353 0.991 0.127
0.122 0.878 0.750
0.878 0.122 0.250
0.601 0.399 0.750
0.846 0.473 0.988
0.535 0.124 0.217
0.154 0.527 0.012
0.876 0.465 0.283
0.399 0.601 0.250
0.473 0.846 0.488
0.527 0.154 0.512
0.124 0.535 0.717
0.465 0.876 0.783
```

=====

# 10
This record from Alexandria via LeMat-Bulk describes a relaxed Sm2Y5Tm4 crystal. The functional is PBE.

ΔE_f: 0.098 eV per atom
Total magnetic moment: 0.000 μB per cell
Symmetry: C2/m, No. 12

```
Sm2Y5Tm4
1.0
5.564 0.000 -1.002
-1.275 5.880 -7.085
1.168 -9.507 22.450
Sm Y Tm
2 5 4
Direct
0.411 0.214 0.822
0.589 0.786 0.178
0.844 0.124 0.687
0.156 0.876 0.313
0.789 0.482 0.578
0.500 0.000 0.000
0.211 0.518 0.422
0.314 0.372 0.628
0.947 0.982 0.893
0.686 0.628 0.372
0.053 0.018 0.107
```

=====

# 11
This record from Alexandria via LeMat-Bulk describes a relaxed SmY3Tm crystal. The functional is PBE.

ΔE_f: 0.299 eV per atom
Total magnetic moment: 0.000 μB per cell
Symmetry: P2_1/m, No. 11

```
SmY3Tm
1.0
3.625 0.017 0.000
-1.761 8.275 0.000
0.000 0.000 11.625
Sm Y Tm
2 6 2
Direct
0.925 0.517 0.250
0.075 0.483 0.750
0.839 0.194 0.001
0.161 0.806 0.999
0.839 0.194 0.499
0.161 0.806 0.501
0.655 0.866 0.250
0.345 0.134 0.750
0.307 0.183 0.250
0.693 0.817 0.750
```

=====

# 12
This record from Alexandria via LeMat-Bulk describes a relaxed SmYTm crystal. The functional is PBE.

ΔE_f: 0.068 eV per atom
Total magnetic moment: 0.000 μB per cell
Symmetry: P-6m2, No. 187

```
SmYTm
1.0
-0.780 3.412 0.243
-5.436 -1.283 0.566
3.271 0.424 4.542
Y Tm Sm
1 1 1
Direct
0.666 0.667 0.333
0.168 0.333 0.667
0.166 0.000 0.000
```

=====

# 13
This record from Alexandria via LeMat-Bulk describes a relaxed Sm4Y3Tm crystal. The functional is PBE.

ΔE_f: 0.018 eV per atom
Total magnetic moment: 0.001 μB per cell
Symmetry: Pmn2_1, No. 31

```
Sm4Y3Tm
1.0
6.325 0.000 0.000
0.000 7.323 0.000
0.000 0.000 11.457
Sm Y Tm
8 6 2
Direct
0.152 0.874 0.000
0.647 0.126 0.000
0.981 0.126 0.248
0.481 0.874 0.252
0.147 0.874 0.500
0.652 0.126 0.500
0.481 0.874 0.748
0.981 0.126 0.752
0.647 0.624 0.000
0.981 0.623 0.250
0.481 0.377 0.250
0.147 0.376 0.500
0.481 0.377 0.750
0.981 0.623 0.750
0.146 0.378 0.000
0.646 0.622 0.500
```

=====

# 14
This record from Alexandria via LeMat-Bulk describes a relaxed SmYTm crystal. The functional is PBE.

ΔE_f: 0.123 eV per atom
Total magnetic moment: 0.000 μB per cell
Symmetry: P2_1/m, No. 11

```
SmYTm
1.0
3.502 0.000 0.000
0.000 6.545 1.821
0.000 2.641 9.311
Sm Y Tm
2 2 2
Direct
0.250 0.735 0.352
0.750 0.265 0.648
0.250 0.280 0.972
0.750 0.720 0.028
0.250 0.244 0.343
0.750 0.756 0.657
```

=====

# 15
This record from Alexandria via LeMat-Bulk describes a relaxed Sm5Y2Tm4 crystal. The functional is PBE.

ΔE_f: 0.228 eV per atom
Total magnetic moment: 0.000 μB per cell
Symmetry: C2/m, No. 12

```
Sm5Y2Tm4
1.0
7.490 1.169 2.169
3.754 6.586 2.169
0.810 0.558 8.449
Sm Y Tm
5 2 4
Direct
0.646 0.166 0.884
0.354 0.834 0.116
0.000 0.000 0.500
0.166 0.646 0.884
0.834 0.354 0.116
0.147 0.147 0.735
0.853 0.853 0.265
0.394 0.394 0.493
0.606 0.606 0.507
0.746 0.746 0.725
0.254 0.254 0.275
```

=====

# 16
This record from Alexandria via LeMat-Bulk describes a relaxed SmY4Tm3 crystal. The functional is PBE.

ΔE_f: 0.028 eV per atom
Total magnetic moment: 0.000 μB per cell
Symmetry: Pmmm, No. 47

```
SmY4Tm3
1.0
3.331 0.705 1.014
1.720 7.583 1.545
0.702 -0.650 10.592
Y Tm Sm
4 3 1
Direct
0.000 0.751 0.748
0.497 0.751 0.252
0.000 0.249 0.252
0.503 0.249 0.748
0.500 0.000 0.500
0.000 0.000 0.000
0.000 0.500 0.500
0.500 0.500 0.000
```

=====

# 17
This record from Alexandria via LeMat-Bulk describes a relaxed Sm3Y4Tm8 crystal. The functional is PBE.

ΔE_f: 0.399 eV per atom
Total magnetic moment: 0.001 μB per cell
Symmetry: C2/m, No. 12

```
Sm3Y4Tm8
1.0
-3.728 0.690 -5.527
8.276 -3.560 -1.972
-1.947 -7.877 4.384
Sm Y Tm
3 4 8
Direct
0.500 0.500 0.000
0.500 0.000 0.500
0.500 0.500 0.500
0.500 0.000 0.000
0.000 0.500 0.000
0.000 0.000 0.000
0.000 0.000 0.500
0.534 0.269 0.269
0.000 0.639 0.361
0.010 0.267 0.267
0.500 0.746 0.254
0.500 0.254 0.746
0.990 0.733 0.733
0.000 0.361 0.639
0.466 0.731 0.731
```

=====

# 18
This record from Alexandria via LeMat-Bulk describes a relaxed Sm2Y5Tm2 crystal. The functional is PBE.

ΔE_f: 0.238 eV per atom
Total magnetic moment: 0.000 μB per cell
Symmetry: Ima2, No. 46

```
Sm2Y5Tm2
1.0
-5.494 -9.877 -3.138
3.262 -3.372 4.901
-4.410 8.188 3.872
Sm Y Tm
4 10 4
Direct
0.000 0.000 0.000
0.500 0.500 0.000
0.262 0.365 0.500
0.738 0.865 0.500
0.208 0.655 0.895
0.792 0.760 0.105
0.186 0.155 0.895
0.814 0.260 0.105
0.381 0.037 0.285
0.619 0.752 0.715
0.405 0.537 0.285
0.595 0.252 0.715
0.992 0.647 0.500
0.008 0.147 0.500
0.120 0.687 0.255
0.880 0.433 0.745
0.635 0.187 0.255
0.365 0.933 0.745
```

=====

# 19
This record from Alexandria via LeMat-Bulk describes a relaxed Sm2Y3Tm3 crystal. The functional is PBE.

ΔE_f: 0.099 eV per atom
Total magnetic moment: 0.000 μB per cell
Symmetry: C2/m, No. 12

```
Sm2Y3Tm3
1.0
-2.634 -0.841 5.032
-4.164 -3.289 -2.729
7.542 -4.064 -0.007
Sm Y Tm
2 3 3
Direct
0.749 0.687 0.499
0.251 0.313 0.501
0.871 0.320 0.741
0.129 0.680 0.259
0.000 0.000 0.000
0.372 0.920 0.743
0.500 0.500 0.000
0.628 0.080 0.257
```

=====

# 20
This record from Alexandria via LeMat-Bulk describes a relaxed SmYTm2 crystal. The functional is PBE.

ΔE_f: 0.020 eV per atom
Total magnetic moment: 0.001 μB per cell
Symmetry: R3m, No. 160

```
SmYTm2
1.0
-0.820 2.564 -2.347
1.413 -0.062 -3.279
-8.662 -5.385 -5.574
Sm Y Tm
1 1 2
Direct
0.501 0.501 0.498
0.666 0.666 0.001
0.083 0.083 0.752
0.250 0.250 0.249
```